1.
Density functional theory data (PBE) for AcThTaN4 after structural relaxation.

Cell and atoms, written as CIF:
```
data_AcThTaN4
_chemical_formula_sum 'Ac4 Th4 Ta4 N16'
_cell_length_a 5.7732
_cell_length_b 13.0110
_cell_length_c 5.7823
_cell_angle_alpha 90.00
_cell_angle_beta 90.00
_cell_angle_gamma 90.00
_symmetry_space_group_name_H-M 'C m c m'
_symmetry_Int_Tables_number 63
_symmetry_space_group_name_Hall '-C 2c 2'
loop_
_atom_site_label
_atom_site_type_symbol
_atom_site_fract_x
_atom_site_fract_y
_atom_site_fract_z
Ac1 Ac 0.0000 0.1062 0.2500
Th1 Th 0.0000 0.3935 0.2500
Ta1 Ta 0.0000 0.2406 0.7500
N1 N 0.0000 0.0874 0.7500
N2 N 0.0000 0.4326 0.7500
N3 N 0.2500 0.2500 0.0000
```

The raw formation energy comes out at -1.36 eV per atom. As for the density: 10.6 Mg/m³.


2.
Density functional theory data (PBE) for SiSbW2 after structural relaxation.

Cell and atoms, written as CIF:
```
data_SiSbW2
_chemical_formula_sum 'Si2 Sb2 W4'
_cell_length_a 4.1534
_cell_length_b 4.1534
_cell_length_c 7.8235
_cell_angle_alpha 90.00
_cell_angle_beta 90.00
_cell_angle_gamma 90.00
_symmetry_space_group_name_H-M 'I -4 m 2'
_symmetry_Int_Tables_number 119
_symmetry_space_group_name_Hall 'I -4 -2'
loop_
_atom_site_label
_atom_site_type_symbol
_atom_site_fract_x
_atom_site_fract_y
_atom_site_fract_z
Si1 Si 0.0000 0.0000 0.0000
Sb1 Sb 0.0000 0.5000 0.2500
W1 W 0.0000 0.0000 0.5000
W2 W 0.0000 0.5000 0.7500
```

The raw formation energy comes out at 0.61 eV per atom. As for the density: 12.7 Mg/m³. The calculation puts the excess energy over the best structure of this formula in the dataset at 443 meV/atom.


3.
Density functional theory data (PBE) for Ba2VPd after structural relaxation.

Cell and atoms, written as CIF:
```
data_Ba2VPd
_chemical_formula_sum 'Ba8 V4 Pd4'
_cell_length_a 8.8922
_cell_length_b 8.8922
_cell_length_c 6.9513
_cell_angle_alpha 90.00
_cell_angle_beta 90.00
_cell_angle_gamma 90.00
_symmetry_space_group_name_H-M 'I -4 2 d'
_symmetry_Int_Tables_number 122
_symmetry_space_group_name_Hall 'I -4 2bw'
loop_
_atom_site_label
_atom_site_type_symbol
_atom_site_fract_x
_atom_site_fract_y
_atom_site_fract_z
Ba1 Ba 0.2117 0.2500 0.1250
V1 V 0.0000 0.0000 0.5000
Pd1 Pd 0.0000 0.0000 0.0000
```

As for the density: 5.2 Mg/m³. The calculation puts the excess energy over the best structure of this formula in the dataset at 167 meV/atom.


4.
Density functional theory data (PBE) for HoNiPN after structural relaxation.

Cell and atoms, written as CIF:
```
data_HoNiPN
_chemical_formula_sum 'Ho2 Ni2 P2 N2'
_cell_length_a 3.6602
_cell_length_b 3.6602
_cell_length_c 7.8604
_cell_angle_alpha 90.00
_cell_angle_beta 90.00
_cell_angle_gamma 90.00
_symmetry_space_group_name_H-M 'P 4/n m m'
_symmetry_Int_Tables_number 129
loop_
_symmetry_equiv_pos_as_xyz
'x,y,z'
'-x,-y,-z'
'-y+1/2,x,z'
'y+1/2,-x,-z'
'-x+1/2,-y+1/2,z'
'x+1/2,y+1/2,-z'
'y,-x+1/2,z'
'-y,x+1/2,-z'
'x+1/2,-y,-z'
'-x+1/2,y,z'
'-y,-x,-z'
'y,x,z'
'-x,y+1/2,-z'
'x,-y+1/2,z'
'y+1/2,x+1/2,-z'
'-y+1/2,-x+1/2,z'
loop_
_atom_site_label
_atom_site_type_symbol
_atom_site_fract_x
_atom_site_fract_y
_atom_site_fract_z
Ho1 Ho 0.2500 0.2500 0.1653
Ni1 Ni 0.2500 0.7500 0.5000
P1 P 0.2500 0.2500 0.6568
N1 N 0.2500 0.2500 0.8742
```

The raw formation energy comes out at -1.14 eV per atom. As for the density: 8.5 Mg/m³.


5.
Density functional theory data (PBE) for Be2NiB2 after structural relaxation.

Cell and atoms, written as CIF:
```
data_Be2NiB2
_chemical_formula_sum 'Be4 Ni2 B4'
_cell_length_a 5.1605
_cell_length_b 5.1605
_cell_length_c 2.8973
_cell_angle_alpha 90.00
_cell_angle_beta 90.00
_cell_angle_gamma 90.00
_symmetry_space_group_name_H-M 'P 4/m b m'
_symmetry_Int_Tables_number 127
_symmetry_space_group_name_Hall '-P 4 2ab'
loop_
_atom_site_label
_atom_site_type_symbol
_atom_site_fract_x
_atom_site_fract_y
_atom_site_fract_z
Be1 Be 0.1739 0.3261 0.0000
Ni1 Ni 0.0000 0.0000 0.5000
B1 B 0.1127 0.6127 0.5000
```

As for the density: 4.2 Mg/m³. For the total energy, the calculation gives -5.391 eV/atom.


6.
Density functional theory data (PBE) for HfAsWSe2 after structural relaxation.

Cell and atoms, written as CIF:
```
data_HfAsWSe2
_chemical_formula_sum 'Hf1 As1 W1 Se2'
_cell_length_a 4.8536
_cell_length_b 4.8536
_cell_length_c 4.9570
_cell_angle_alpha 90.00
_cell_angle_beta 90.00
_cell_angle_gamma 90.00
_symmetry_space_group_name_H-M 'P 4/m m m'
_symmetry_Int_Tables_number 123
_symmetry_space_group_name_Hall '-P 4 2'
loop_
_atom_site_label
_atom_site_type_symbol
_atom_site_fract_x
_atom_site_fract_y
_atom_site_fract_z
Hf1 Hf 0.0000 0.0000 0.0000
As1 As 0.5000 0.5000 0.0000
W1 W 0.5000 0.5000 0.5000
Se1 Se 0.0000 0.5000 0.5000
```

The raw formation energy comes out at 0.59 eV per atom. As for the density: 8.5 Mg/m³. The calculation puts the excess energy over the best structure of this formula in the dataset at 0 meV/atom.


7.
Density functional theory data (PBE) for AlSn3Pd12 after structural relaxation.

Cell and atoms, written as CIF:
```
data_AlSn3Pd12
_chemical_formula_sum 'Al1 Sn3 Pd12'
_cell_length_a 4.0136
_cell_length_b 4.0136
_cell_length_c 15.9948
_cell_angle_alpha 90.00
_cell_angle_beta 90.00
_cell_angle_gamma 90.00
_symmetry_space_group_name_H-M 'P 4/m m m'
_symmetry_Int_Tables_number 123
_symmetry_space_group_name_Hall '-P 4 2'
loop_
_atom_site_label
_atom_site_type_symbol
_atom_site_fract_x
_atom_site_fract_y
_atom_site_fract_z
Al1 Al 0.0000 0.0000 0.0000
Sn1 Sn 0.0000 0.0000 0.2442
Sn2 Sn 0.0000 0.0000 0.5000
Pd1 Pd 0.0000 0.5000 0.1176
Pd2 Pd 0.0000 0.5000 0.3727
Pd3 Pd 0.5000 0.5000 0.0000
Pd4 Pd 0.5000 0.5000 0.2460
Pd5 Pd 0.5000 0.5000 0.5000
```

As for the density: 10.7 Mg/m³. For the total energy, the calculation gives -5.406 eV/atom.


8.
Density functional theory data (PBE) for LiLaTa2 after structural relaxation.

Cell and atoms, written as CIF:
```
data_LiLaTa2
_chemical_formula_sum 'Li3 La3 Ta6'
_cell_length_a 2.9579
_cell_length_b 2.9579
_cell_length_c 33.6712
_cell_angle_alpha 90.00
_cell_angle_beta 90.00
_cell_angle_gamma 120.00
_symmetry_space_group_name_H-M 'R -3 m'
_symmetry_Int_Tables_number 166
_symmetry_space_group_name_Hall '-R 3 2"'
loop_
_atom_site_label
_atom_site_type_symbol
_atom_site_fract_x
_atom_site_fract_y
_atom_site_fract_z
Li1 Li 0.0000 0.0000 0.0000
La1 La 0.0000 0.0000 0.5000
Ta1 Ta 0.0000 0.0000 0.2564
```

As for the density: 9.9 Mg/m³. The calculation puts the excess energy over the best structure of this formula in the dataset at 346 meV/atom.


9.
Density functional theory data (PBE) for MnAl2In after structural relaxation.

Cell and atoms, written as CIF:
```
data_MnAl2In
_chemical_formula_sum 'Mn1 Al2 In1'
_cell_length_a 2.8838
_cell_length_b 2.8838
_cell_length_c 8.2831
_cell_angle_alpha 90.00
_cell_angle_beta 90.00
_cell_angle_gamma 90.00
_symmetry_space_group_name_H-M 'P 4/m m m'
_symmetry_Int_Tables_number 123
_symmetry_space_group_name_Hall '-P 4 2'
loop_
_atom_site_label
_atom_site_type_symbol
_atom_site_fract_x
_atom_site_fract_y
_atom_site_fract_z
Mn1 Mn 0.0000 0.0000 0.0000
Al1 Al 0.5000 0.5000 0.1902
In1 In 0.0000 0.0000 0.5000
```

As for the density: 5.4 Mg/m³. For the total energy, the calculation gives -4.838 eV/atom.


10.
Density functional theory data (PBE) for HgIF after structural relaxation.

Cell and atoms, written as CIF:
```
data_HgIF
_chemical_formula_sum 'Hg1 I1 F1'
_cell_length_a 4.0929
_cell_length_b 4.0929
_cell_length_c 5.6238
_cell_angle_alpha 90.00
_cell_angle_beta 90.00
_cell_angle_gamma 120.00
_symmetry_space_group_name_H-M 'P 3 m 1'
_symmetry_Int_Tables_number 156
_symmetry_space_group_name_Hall 'P 3 -2"'
loop_
_atom_site_label
_atom_site_type_symbol
_atom_site_fract_x
_atom_site_fract_y
_atom_site_fract_z
Hg1 Hg 0.0000 0.0000 0.0000
I1 I 0.3333 0.6667 0.3150
F1 F 0.6667 0.3333 0.8399
```

The raw formation energy comes out at -0.72 eV per atom. As for the density: 7.1 Mg/m³. The calculation puts the excess energy over the best structure of this formula in the dataset at 168 meV/atom.


11.
Density functional theory data (PBE) for LaTl2FeSb after structural relaxation.

Cell and atoms, written as CIF:
```
data_LaTl2FeSb
_chemical_formula_sum 'La1 Tl2 Fe1 Sb1'
_cell_length_a 5.1347
_cell_length_b 5.1347
_cell_length_c 5.1170
_cell_angle_alpha 90.00
_cell_angle_beta 90.00
_cell_angle_gamma 90.00
_symmetry_space_group_name_H-M 'P 4/m m m'
_symmetry_Int_Tables_number 123
_symmetry_space_group_name_Hall '-P 4 2'
loop_
_atom_site_label
_atom_site_type_symbol
_atom_site_fract_x
_atom_site_fract_y
_atom_site_fract_z
La1 La 0.0000 0.0000 0.0000
Tl1 Tl 0.0000 0.5000 0.5000
Fe1 Fe 0.5000 0.5000 0.5000
Sb1 Sb 0.5000 0.5000 0.0000
```

The raw formation energy comes out at -0.04 eV per atom. As for the density: 8.9 Mg/m³.


12.
Density functional theory data (PBE) for AlGa2Au4 after structural relaxation.

Cell and atoms, written as CIF:
```
data_AlGa2Au4
_chemical_formula_sum 'Al4 Ga8 Au16'
_cell_length_a 13.9795
_cell_length_b 3.5244
_cell_length_c 10.3999
_cell_angle_alpha 90.00
_cell_angle_beta 90.00
_cell_angle_gamma 90.00
_symmetry_space_group_name_H-M 'P n m a'
_symmetry_Int_Tables_number 62
_symmetry_space_group_name_Hall '-P 2ac 2n'
loop_
_atom_site_label
_atom_site_type_symbol
_atom_site_fract_x
_atom_site_fract_y
_atom_site_fract_z
Al1 Al 0.1434 0.2500 0.0668
Ga1 Ga 0.0897 0.7500 0.5073
Ga2 Ga 0.1319 0.7500 0.7666
Au1 Au 0.0142 0.2500 0.8894
Au2 Au 0.0526 0.2500 0.3187
Au3 Au 0.2179 0.7500 0.2285
Au4 Au 0.2366 0.2500 0.4595
```

As for the density: 12.4 Mg/m³. The calculation puts the excess energy over the best structure of this formula in the dataset at 0 meV/atom.


13.
Density functional theory data (PBE) for BePtSe after structural relaxation.

Cell and atoms, written as CIF:
```
data_BePtSe
_chemical_formula_sum 'Be2 Pt2 Se2'
_cell_length_a 4.5599
_cell_length_b 5.1043
_cell_length_c 6.3969
_cell_angle_alpha 90.00
_cell_angle_beta 134.38
_cell_angle_gamma 90.00
_symmetry_space_group_name_H-M 'P 1 c 1'
_symmetry_Int_Tables_number 7
_symmetry_space_group_name_Hall 'P -2yc'
loop_
_atom_site_label
_atom_site_type_symbol
_atom_site_fract_x
_atom_site_fract_y
_atom_site_fract_z
Be1 Be 0.0000 0.2372 0.0000
Pt1 Pt 0.3351 0.0003 0.4170
Se1 Se 0.3675 0.3620 0.6832
```

The raw formation energy comes out at -0.32 eV per atom. As for the density: 8.8 Mg/m³.


14.
Density functional theory data (PBE) for LaNd12Tm6 after structural relaxation.

Cell and atoms, written as CIF:
```
data_LaNd12Tm6
_chemical_formula_sum 'La3 Nd36 Tm18'
_cell_length_a 13.5083
_cell_length_b 13.5083
_cell_length_c 12.6183
_cell_angle_alpha 90.00
_cell_angle_beta 90.00
_cell_angle_gamma 120.00
_symmetry_space_group_name_H-M 'R -3 m'
_symmetry_Int_Tables_number 166
_symmetry_space_group_name_Hall '-R 3 2"'
loop_
_atom_site_label
_atom_site_type_symbol
_atom_site_fract_x
_atom_site_fract_y
_atom_site_fract_z
La1 La 0.0000 0.0000 0.0000
Nd1 Nd 0.0000 0.2587 0.5000
Nd2 Nd 0.0908 0.1816 0.2620
Tm1 Tm 0.0407 0.5204 0.6218
```

As for the density: 7.2 Mg/m³. The calculation puts the excess energy over the best structure of this formula in the dataset at 57 meV/atom.


15.
Density functional theory data (PBE) for K3UCu2O9 after structural relaxation.

Cell and atoms, written as CIF:
```
data_K3UCu2O9
_chemical_formula_sum 'K3 U1 Cu2 O9'
_cell_length_a 5.6698
_cell_length_b 5.6698
_cell_length_c 7.0530
_cell_angle_alpha 90.00
_cell_angle_beta 90.00
_cell_angle_gamma 120.00
_symmetry_space_group_name_H-M 'P -3 m 1'
_symmetry_Int_Tables_number 164
_symmetry_space_group_name_Hall '-P 3 2"'
loop_
_atom_site_label
_atom_site_type_symbol
_atom_site_fract_x
_atom_site_fract_y
_atom_site_fract_z
K1 K 0.0000 0.0000 0.0000
K2 K 0.3333 0.6667 0.6818
U1 U 0.0000 0.0000 0.5000
Cu1 Cu 0.3333 0.6667 0.1651
O1 O 0.0000 0.5000 0.0000
O2 O 0.1683 0.3365 0.3304
```

The raw formation energy comes out at -1.34 eV per atom. As for the density: 5.3 Mg/m³.


16.
Density functional theory data (PBE) for AlPbSe2 after structural relaxation.

Cell and atoms, written as CIF:
```
data_AlPbSe2
_chemical_formula_sum 'Al1 Pb1 Se2'
_cell_length_a 3.8724
_cell_length_b 3.7657
_cell_length_c 7.8458
_cell_angle_alpha 90.00
_cell_angle_beta 104.01
_cell_angle_gamma 90.00
_symmetry_space_group_name_H-M 'P 1 m 1'
_symmetry_Int_Tables_number 6
_symmetry_space_group_name_Hall 'P -2y'
loop_
_atom_site_label
_atom_site_type_symbol
_atom_site_fract_x
_atom_site_fract_y
_atom_site_fract_z
Al1 Al 0.0000 0.0000 0.0000
Pb1 Pb 0.2523 0.5000 0.4974
Se1 Se 0.5937 0.0000 0.1912
Se2 Se 0.8996 0.5000 0.7965
```

The raw formation energy comes out at -0.54 eV per atom. As for the density: 5.9 Mg/m³.